GGA-PBE Pm2NdCdAu4, optimized geometry; DFT total energy = -4.258 eV/atom; N(E_F) = 5.55 states/eV/f.u.; V = 24.2 Å³/atom; magnetization = 0.0 μB/cell; calculated formation energy = -0.721 eV/atom
1.0
5.1419 0.0000 0.0000
2.5710 4.4530 0.0000
2.5710 1.4843 8.4415
Au Pm Nd Cd
4 2 1 1
direct
0.1201 0.1201 0.6398
0.8799 0.8799 0.3602
0.6315 0.6315 0.1054
0.3685 0.3685 0.8946
0.7589 0.7589 0.7233
0.2411 0.2411 0.2767
0.0000 0.0000 0.0000
0.5000 0.5000 0.5000